Record 1
Below is a relaxed CrMo crystal, with properties calculated at the PBE-GGA level.

Calculated values
crystal system = orthorhombic
raw total energy = -10.13 eV/atom
magnetization = 0.0 μB/cell

```
CrMo
1.0
4.317 0.000 0.000
0.000 3.051 0.000
0.000 0.000 4.219
Mo Cr
2 2
direct
0.500 0.500 0.000
0.000 0.000 0.000
0.500 0.000 0.500
0.000 0.500 0.500
```



Record 2
Below is a relaxed Cr5Mo3 crystal, with properties calculated at the PBE-GGA level.

Calculated values
energy above the lowest structure with this stoichiometry = 415 meV/atom
crystal system = hexagonal
raw total energy = -9.60 eV/atom
magnetization = 0.0 μB/cell

```
Cr5Mo3
1.0
7.227 0.000 0.000
3.613 6.258 0.000
0.000 0.000 4.915
Mo Cr
6 10
direct
0.000 0.608 0.750
0.392 0.000 0.750
0.392 0.608 0.250
0.000 0.392 0.250
0.608 0.392 0.750
0.608 0.000 0.250
0.667 0.667 0.500
0.218 0.781 0.750
0.000 0.219 0.750
0.782 0.000 0.750
0.218 0.000 0.250
0.333 0.333 0.000
0.000 0.781 0.250
0.333 0.333 0.500
0.667 0.667 0.000
0.782 0.218 0.250
```



Question: raw total energy of number 1 (CrMo)?
Answer: -10.13 eV/atom



Question: Which value of magnetization does entry 2 give?
Answer: 0.0 μB/cell



Question: What is the formula in the second record?
Answer: Cr5Mo3



Question: magnetization of number 2 (Cr5Mo3)?
Answer: 0.0 μB/cell